Compound: CsVFeCl6
Source: the Alexandria database
Functional: GGA-PBE
Structure: optimized geometry

Values from the calculation:
ρ = 2.874 g cm⁻³
Fermi-level density of states = 1.091 states/eV per atom
formation energy from raw total energies = -1.14 eV per atom

```
CsVFeCl6
1.0
-5.0816 3.2942 1.3222
-5.6105 -2.5371 -0.7127
0.2376 -2.6067 7.4075
Cs V Fe Cl
1 1 1 6
Cartesian
0.2374 -2.6065 7.4073
-7.0093 -0.7986 4.1098
-3.4445 -1.0513 3.9071
-2.0363 -1.7465 2.2118
-1.7699 -0.5738 5.4260
-5.0486 -0.6208 5.5146
-3.3966 -3.2771 4.5270
-5.2644 -1.2388 2.4943
-3.1549 1.1507 3.2673
```

Compound: TlOsC2
Source: the Alexandria database
Functional: GGA-PBE
Structure: optimized geometry

Values from the calculation:
ρ = 8.519 g cm⁻³
Fermi-level density of states = 0.132 states/eV per atom
polymorph energy (0 for the lowest one) = 0 meV/atom
formation energy from the elements = 21.25 kcal/mol of atoms

```
TlOsC2
1.0
-1.0298 -3.8598 4.3821
4.2405 -3.5536 -2.1335
4.7481 -1.5437 3.7681
Tl Os C
2 2 4
Cartesian
0.0000 0.0000 0.0000
2.6618 -4.5551 4.6373
1.6053 -3.7067 1.1243
5.2970 -4.4020 1.3795
1.3308 -2.2780 2.3191
3.4513 -4.0539 1.2514
5.8247 -4.8258 3.1362
5.3108 -6.7565 5.3268
```

Compound: K2In2Au
Source: the Alexandria database
Functional: GGA-PBE
Structure: optimized geometry

Values from the calculation:
ρ = 4.968 g cm⁻³
Fermi-level density of states = 0.498 states/eV per atom
polymorph energy (0 for the lowest one) = 451 meV/atom
formation energy from the elements = 7.18 kcal/mol of atoms

```
K2In2Au
1.0
4.5500 0.0000 0.0000
0.0000 4.5500 0.0000
2.2750 2.2750 8.1494
K Au In
2 1 2
Cartesian
4.5500 2.2750 4.0747
2.2750 4.5500 4.0747
0.0000 0.0000 0.0000
2.2750 2.2750 1.3757
4.5500 4.5500 6.7737
```

Compound: Sm4CdRuAu2
Source: the Alexandria database
Functional: GGA-PBE
Structure: optimized geometry

Values from the calculation:
ρ = 10.234 g cm⁻³
Fermi-level density of states = 0.747 states/eV per atom
formation energy from the elements = -12.45 kcal/mol of atoms

```
Sm4CdRuAu2
1.0
5.1994 0.0000 0.0000
2.5997 4.5028 0.0000
2.5997 1.5009 8.3785
Sm Cd Ru Au
4 1 1 2
Cartesian
5.1994 3.0019 7.0693
7.7990 4.5028 3.3581
2.5997 1.5009 5.0204
5.1994 3.0018 1.3092
0.0000 0.0000 0.0000
5.1994 3.0018 4.1893
7.7990 4.5028 6.5590
2.5997 1.5009 1.8195
```

no.,total magnetic moment (Bohr magnetons per cell)
1,2.0
2,0.0
3,0.0
4,0.0